This record from Alexandria via LeMat-Bulk describes a geometry-optimized Mg2ZnRh4 structure. The functional is PBE.

a = 5.479 Å, b = 5.479 Å, c = 5.479 Å
α = 121.47°, β = 121.47°, γ = 87.48°
Positions (direct):
Mg 0.000 0.500 0.500
Mg 0.500 0.000 0.500
Zn 0.000 0.000 0.000
Rh 0.000 0.000 0.500
Rh 0.000 0.500 0.000
Rh 0.500 0.000 0.000
Rh 0.500 0.500 0.500

Output
For the calculated density, the calculation gives 7.68 g cm⁻³. For the energy of formation from the pure elements, the calculation gives -28 kJ/mol of formula units. As for the space group: No. 139. For the magnetization, the calculation gives 0.15 μB per atom.